Record 1
Ta2AgRu2 after structural relaxation. Source: Alexandria, functional GGA-PBEsol.

a = 4.167 Å, b = 4.167 Å, c = 10.646 Å
α = 90.00°, β = 90.00°, γ = 90.00°
Space group I4/mmm (No. 139)
Symmetry-distinct sites (fractional):
Ta  0.000  0.500  0.250 (multiplicity 4)
Ag  0.000  0.000  0.000 (multiplicity 2)
Ru  0.000  0.000  0.385 (multiplicity 4)

Properties
D(E_F) in states/eV per cell: 5.8
Crystal system: tetragonal
DFT total energy in eV/atom: -9.474
Formation energy in eV per formula unit: 1.387


Record 2
TcAgRu after structural relaxation. Source: Alexandria, functional GGA-PBEsol.

a = 2.7218 Å, b = 2.7218 Å, c = 6.8660 Å
α = 90.00°, β = 90.00°, γ = 120.00°
Space group P3m1 (No. 156)
Symmetry-distinct sites (fractional):
Tc  0.0000  0.0000  0.0000 (multiplicity 1)
Ag  0.6667  0.3333  0.6428 (multiplicity 1)
Ru  0.3333  0.6667  0.2889 (multiplicity 1)

Properties
D(E_F) in states/eV per cell: 2.1
Crystal system: trigonal
Polymorph energy (0 for the lowest one) in eV per atom: 0.0000
DFT total energy in eV/atom: -8.034
Formation energy in eV per formula unit: 0.649


Record 3
TcAgRu after structural relaxation. Source: Alexandria, functional GGA-PBEsol.

a = 2.759 Å, b = 3.736 Å, c = 8.416 Å
α = 90.00°, β = 90.00°, γ = 90.00°
Space group Imm2 (No. 44)
Symmetry-distinct sites (fractional):
Tc  0.000  0.000  0.000 (multiplicity 2)
Ag  0.000  0.000  0.679 (multiplicity 2)
Ru  0.000  0.000  0.358 (multiplicity 2)

Properties
D(E_F) in states/eV per cell: 4.9
Crystal system: orthorhombic
Polymorph energy (0 for the lowest one) in eV per atom: 0.1708
DFT total energy in eV/atom: -7.863
Formation energy in eV per formula unit: 1.161


Record 4
TcAgRu after structural relaxation. Source: Alexandria, functional GGA-PBEsol.

a = 2.775 Å, b = 2.775 Å, c = 11.530 Å
α = 90.00°, β = 90.00°, γ = 90.00°
Space group I4mm (No. 107)
Symmetry-distinct sites (fractional):
Tc  0.000  0.000  0.000 (multiplicity 2)
Ag  0.000  0.000  0.683 (multiplicity 2)
Ru  0.000  0.000  0.364 (multiplicity 2)

Properties
D(E_F) in states/eV per cell: 5.9
Crystal system: tetragonal
Polymorph energy (0 for the lowest one) in eV per atom: 0.0857
DFT total energy in eV/atom: -7.948
Formation energy in eV per formula unit: 0.906


Record 5
TcAg2RuW after structural relaxation. Source: Alexandria, functional GGA-PBEsol.

a = 4.813 Å, b = 4.813 Å, c = 4.402 Å
α = 90.00°, β = 90.00°, γ = 90.00°
Space group P4/mmm (No. 123)
Symmetry-distinct sites (fractional):
Tc  0.000  0.000  0.000 (multiplicity 1)
Ag  0.000  0.500  0.500 (multiplicity 2)
Ru  0.000  0.000  0.500 (multiplicity 1)
W  0.500  0.500  0.000 (multiplicity 1)

Properties
D(E_F) in states/eV per cell: 5.6
Crystal system: tetragonal
DFT total energy in eV/atom: -6.108
Formation energy in eV per formula unit: 11.328


Record 6
AgTe3Ru after structural relaxation. Source: Alexandria, functional GGA-PBEsol.

a = 5.140 Å, b = 5.140 Å, c = 5.140 Å
α = 90.00°, β = 90.00°, γ = 90.00°
Space group Pm-3m (No. 221)
Symmetry-distinct sites (fractional):
Ag  0.000  0.000  0.000 (multiplicity 1)
Te  0.000  0.500  0.500 (multiplicity 3)
Ru  0.500  0.500  0.500 (multiplicity 1)

Properties
D(E_F) in states/eV per cell: 7.0
Crystal system: cubic
DFT total energy in eV/atom: -4.167


Record 7
AgTeRu2 after structural relaxation. Source: Alexandria, functional GGA-PBEsol.

a = 2.927 Å, b = 4.606 Å, c = 9.898 Å
α = 90.00°, β = 90.00°, γ = 90.00°
Space group Imm2 (No. 44)
Symmetry-distinct sites (fractional):
Ag  0.000  0.000  0.000 (multiplicity 2)
Te  0.000  0.500  0.216 (multiplicity 2)
Ru  0.000  0.000  0.486 (multiplicity 2)
Ru  0.000  0.500  0.773 (multiplicity 2)

Properties
D(E_F) in states/eV per cell: 8.2
Crystal system: orthorhombic
DFT total energy in eV/atom: -6.251


Record 8
AgTeRu after structural relaxation. Source: Alexandria, functional GGA-PBEsol.

a = 4.3435 Å, b = 4.3435 Å, c = 3.4006 Å
α = 90.00°, β = 90.00°, γ = 120.00°
Space group P-6m2 (No. 187)
Symmetry-distinct sites (fractional):
Ag  0.0000  0.0000  0.0000 (multiplicity 1)
Te  0.6667  0.3333  0.5000 (multiplicity 1)
Ru  0.3333  0.6667  0.5000 (multiplicity 1)

Properties
D(E_F) in states/eV per cell: 1.2
Crystal system: hexagonal
DFT total energy in eV/atom: -5.285